Crystalline Li2Ni3SnO8 at its relaxed geometry, computed with GGA+U.

POSCAR file:
```
Li2Ni3SnO8
1.0
-1.346 5.114 -2.523
-1.608 -5.031 -2.537
-8.281 0.207 4.837
Li Ni Sn O
4 6 2 16
Direct
0.333 0.667 0.894
0.000 0.000 0.994
0.000 0.000 0.494
0.667 0.333 0.394
0.169 0.831 0.214
0.169 0.339 0.214
0.661 0.831 0.214
0.339 0.169 0.714
0.831 0.661 0.714
0.831 0.169 0.714
0.333 0.667 0.492
0.667 0.333 0.992
0.158 0.842 0.600
0.031 0.516 0.337
0.333 0.667 0.113
0.000 0.000 0.304
0.000 0.000 0.804
0.158 0.316 0.600
0.484 0.969 0.337
0.484 0.516 0.337
0.316 0.158 0.100
0.684 0.842 0.600
0.516 0.484 0.837
0.516 0.031 0.837
0.667 0.333 0.613
0.842 0.684 0.100
0.969 0.484 0.837
0.842 0.158 0.100
```

volume = 10.2 Å³/atom
symmetry = P6_3mc (186)
size of the total moment = 2.000 μB/f.u.
energy above the lowest structure with this stoichiometry = 19 meV per atom